{"formula": "La2TlBIr", "functional": "GGA-PBE", "state": "optimized geometry", "lattice_angstrom": [[5.5225, 0.0000, 0.0000], [0.0000, 5.5225, 0.0000], [0.0000, 0.0000, 4.0488]], "species": ["La", "La", "Tl", "B", "Ir"], "fractional_positions": [[0.0000, 0.5000, 0.0000], [0.5000, 0.0000, 0.0000], [0.0000, 0.0000, 0.5000], [0.5000, 0.5000, 0.0000], [0.5000, 0.5000, 0.5000]], "crystal_system": "tetragonal", "sg": "P4/mmm (123)", "formation_enthalpy_0k_ev_per_atom": -0.407}

=====

{"formula": "Li2BIr2", "functional": "GGA-PBE", "state": "optimized geometry", "lattice_angstrom": [[5.5539, 0.0000, 0.0000], [0.0000, 5.5539, 0.0000], [0.0000, 0.0000, 4.3728]], "species": ["Li", "Li", "Li", "Li", "B", "B", "Ir", "Ir", "Ir", "Ir"], "fractional_positions": [[0.1611, 0.3389, 0.0000], [0.3389, 0.8389, 0.0000], [0.6611, 0.1611, 0.0000], [0.8389, 0.6611, 0.0000], [0.0000, 0.0000, 0.5000], [0.5000, 0.5000, 0.5000], [0.1625, 0.6625, 0.5000], [0.3375, 0.1625, 0.5000], [0.6625, 0.8375, 0.5000], [0.8375, 0.3375, 0.5000]], "crystal_system": "tetragonal", "sg": "P4/mbm (127)", "formation_enthalpy_0k_ev_per_atom": -0.316}

=====

{"formula": "Li2B4Ir5", "functional": "GGA-PBE", "state": "optimized geometry", "lattice_angstrom": [[2.7819, -4.6080, 0.0000], [2.7819, 4.6080, 0.0000], [-1.3814, 0.0000, 5.3196]], "species": ["Li", "Li", "B", "B", "B", "B", "Ir", "Ir", "Ir", "Ir", "Ir"], "fractional_positions": [[0.0000, 0.0000, 0.0000], [0.6543, 0.6543, 0.4149], [0.3183, 0.9954, 0.3778], [0.4648, 0.6681, 0.9303], [0.6681, 0.4648, 0.9303], [0.9954, 0.3183, 0.3778], [0.1001, 0.5926, 0.1148], [0.2058, 0.7217, 0.6382], [0.2460, 0.2460, 0.6586], [0.5926, 0.1001, 0.1148], [0.7217, 0.2058, 0.6382]], "crystal_system": "monoclinic", "sg": "Cm (8)", "formation_enthalpy_0k_ev_per_atom": -0.311}

=====

{"formula": "LiB2Ir", "functional": "GGA-PBE", "state": "optimized geometry", "lattice_angstrom": [[-2.0370, 2.0370, 6.8806], [2.0370, -2.0370, 6.8806], [2.0370, 2.0370, -6.8806]], "species": ["Li", "Li", "B", "B", "B", "B", "Ir", "Ir"], "fractional_positions": [[0.3750, 0.6250, 0.7500], [0.6250, 0.3750, 0.2500], [0.0000, 0.0000, 0.0000], [0.0000, 0.0000, 0.5000], [0.0000, 0.5000, 0.0000], [0.5000, 0.0000, 0.5000], [0.1250, 0.8750, 0.2500], [0.8750, 0.1250, 0.7500]], "crystal_system": "tetragonal", "sg": "I4_1/amd (141)", "relative_energy_mev_per_atom": 81, "formation_enthalpy_0k_ev_per_atom": 0.182}

=====

{"formula": "LiB2Ir", "functional": "GGA-PBE", "state": "optimized geometry", "lattice_angstrom": [[1.8195, 1.0505, 4.3514], [-1.8195, 1.0505, 4.3514], [0.0000, -2.1009, 4.3514]], "species": ["Li", "B", "B", "Ir"], "fractional_positions": [[0.0000, 0.0000, 0.0000], [0.1868, 0.1868, 0.1868], [0.8132, 0.8132, 0.8132], [0.5000, 0.5000, 0.5000]], "crystal_system": "trigonal", "sg": "R-3m (166)", "relative_energy_mev_per_atom": 0, "formation_enthalpy_0k_ev_per_atom": 0.101}

=====

{"formula": "LiB2Ir2", "functional": "GGA-PBE", "state": "optimized geometry", "lattice_angstrom": [[6.2230, 0.0000, 0.0000], [0.0000, 6.2230, 0.0000], [0.0000, 0.0000, 2.7046]], "species": ["Li", "Li", "B", "B", "B", "B", "Ir", "Ir", "Ir", "Ir"], "fractional_positions": [[0.0000, 0.0000, 0.0000], [0.5000, 0.5000, 0.0000], [0.1396, 0.3604, 0.0000], [0.3604, 0.8604, 0.0000], [0.6396, 0.1396, 0.0000], [0.8604, 0.6396, 0.0000], [0.1565, 0.6565, 0.5000], [0.3435, 0.1565, 0.5000], [0.6565, 0.8435, 0.5000], [0.8435, 0.3435, 0.5000]], "crystal_system": "tetragonal", "sg": "P4/mbm (127)", "relative_energy_mev_per_atom": 57, "formation_enthalpy_0k_ev_per_atom": -0.279}

=====

{"formula": "LiB3Ir2", "functional": "GGA-PBE", "state": "optimized geometry", "lattice_angstrom": [[0.0000, 4.9996, 4.9996], [4.9996, 0.0000, 4.9996], [4.9996, 4.9996, 0.0000]], "species": ["Li", "Li", "Li", "Li", "B", "B", "B", "B", "B", "B", "B", "B", "B", "B", "B", "B", "Ir", "Ir", "Ir", "Ir", "Ir", "Ir", "Ir", "Ir"], "fractional_positions": [[0.0000, 0.0000, 0.0000], [0.0000, 0.0000, 0.5000], [0.0000, 0.5000, 0.0000], [0.5000, 0.0000, 0.0000], [0.1163, 0.1163, 0.6337], [0.1163, 0.6337, 0.1163], [0.1163, 0.6337, 0.6337], [0.3663, 0.3663, 0.8837], [0.3663, 0.8837, 0.3663], [0.3663, 0.8837, 0.8837], [0.6337, 0.1163, 0.1163], [0.6337, 0.1163, 0.6337], [0.6337, 0.6337, 0.1163], [0.8837, 0.3663, 0.3663], [0.8837, 0.3663, 0.8837], [0.8837, 0.8837, 0.3663], [0.2727, 0.2727, 0.2727], [0.2727, 0.2727, 0.6820], [0.2727, 0.6820, 0.2727], [0.3180, 0.7273, 0.7273], [0.6820, 0.2727, 0.2727], [0.7273, 0.3180, 0.7273], [0.7273, 0.7273, 0.3180], [0.7273, 0.7273, 0.7273]], "crystal_system": "cubic", "sg": "Fd-3m (227)", "formation_enthalpy_0k_ev_per_atom": 0.035}

=====

{"formula": "Li3BIr", "functional": "GGA-PBE", "state": "optimized geometry", "lattice_angstrom": [[4.6023, 0.0000, 0.0000], [0.0000, 4.6023, 0.0000], [0.0000, 0.0000, 4.6023]], "species": ["Li", "Li", "Li", "B", "Ir"], "fractional_positions": [[0.0000, 0.0000, 0.5000], [0.0000, 0.5000, 0.0000], [0.5000, 0.0000, 0.0000], [0.5000, 0.5000, 0.5000], [0.0000, 0.0000, 0.0000]], "crystal_system": "cubic", "sg": "Pm-3m (221)", "relative_energy_mev_per_atom": 423, "formation_enthalpy_0k_ev_per_atom": 1.277}